Run w
This record from the Alexandria database describes a geometry-optimized Li2HgTe2 structure. The functional is GGA-PBE.

Values from the calculation:
Crystal system: tetragonal

Structure (extended XYZ):
```
5
Lattice="4.860 0.000 0.000 0.000 4.860 0.000 2.430 2.430 6.781" Properties=species:S:1:pos:R:3 pbc="T T T"
Te 4.860 2.430 3.390
Te 2.430 4.860 3.390
Hg 0.000 0.000 0.000
Li 2.430 2.430 2.015
Li 4.860 4.860 4.766
```


Run x
This record from the Alexandria database describes a geometry-optimized Li2HgTe2 structure. The functional is GGA-PBE.

Values from the calculation:
Crystal system: tetragonal

Structure (extended XYZ):
```
10
Lattice="-1.393 0.375 -8.780 -1.448 -8.778 -0.145 -3.078 0.499 0.510" Properties=species:S:1:pos:R:3 pbc="T T T"
Te -1.681 -7.220 -3.079
Te -2.126 -5.507 -7.444
Te -1.160 -1.183 -5.845
Te -0.715 -2.896 -1.481
Hg 0.000 0.000 0.000
Hg -1.421 -4.201 -4.462
Li -2.645 -5.269 -1.018
Li -3.677 -7.110 -5.441
Li -3.274 -2.634 -7.397
Li -2.243 -0.794 -2.974
```


Run y
This record from the Alexandria database describes a geometry-optimized Li2HgTe2 structure. The functional is GGA-PBE.

Values from the calculation:
Crystal system: monoclinic

Structure (extended XYZ):
```
20
Lattice="-5.141 -4.546 0.265 2.269 -2.890 -5.577 7.412 -7.103 6.697" Properties=species:S:1:pos:R:3 pbc="T T T"
Li -1.923 -3.124 -1.232
Li 0.608 -0.801 -1.267
Li 3.932 -13.738 2.653
Li 6.463 -11.415 2.617
Li 3.516 -3.939 -2.403
Li 1.015 -6.301 -2.443
Li 3.524 -8.238 3.828
Li 1.024 -10.601 3.788
Hg 0.890 -5.151 0.475
Hg 3.649 -9.388 0.910
Hg -1.997 -7.021 1.385
Hg 6.536 -7.518 0.000
Te -0.735 -7.154 -4.488
Te 0.759 -3.509 -1.973
Te 3.781 -11.030 3.358
Te 5.274 -7.385 5.873
Te 0.231 -7.830 -0.049
Te 3.821 -6.855 -2.687
Te 0.718 -7.684 4.072
Te 4.308 -6.709 1.434
```


Quick ranking, most stable first: run y, run x, run w.


Run w
This record from the Alexandria database describes a geometry-optimized LiTlHgTe structure. The functional is GGA-PBE.

Values from the calculation:
Crystal system: cubic

Structure (extended XYZ):
```
4
Lattice="-1.849 -4.621 -2.235 -2.154 -3.889 3.163 -5.362 -0.994 -0.168" Properties=species:S:1:pos:R:3 pbc="T T T"
Tl -7.024 -7.128 0.570
Te -4.682 -4.752 0.380
Hg 0.000 0.000 0.000
Li -2.341 -2.376 0.190
```


Run x
This record from the Alexandria database describes a geometry-optimized LiTlHgTe structure. The functional is GGA-PBE.

Values from the calculation:
Crystal system: tetragonal

Structure (extended XYZ):
```
8
Lattice="-2.200 2.707 -3.320 -4.103 -0.261 2.506 2.514 8.127 4.961" Properties=species:S:1:pos:R:3 pbc="T T T"
Li -2.676 1.965 -1.863
Li -3.627 0.481 1.050
Tl -4.119 3.800 0.590
Tl 0.331 6.773 3.558
Hg -2.370 4.545 3.530
Hg -1.418 6.029 0.617
Te -2.599 8.713 3.589
Te -1.189 1.860 0.559
```


Quick ranking, most stable first: run x, run w.


Run w
This record from the Alexandria database describes a geometry-optimized Li2ThHg3 structure. The functional is GGA-PBE.

Values from the calculation:
Crystal system: hexagonal

Structure (extended XYZ):
```
12
Lattice="4.727 0.000 0.000 -2.364 4.094 0.000 0.000 0.000 13.777" Properties=species:S:1:pos:R:3 pbc="T T T"
Li 2.364 1.365 5.924
Li 0.000 2.729 7.853
Li 0.000 2.729 12.813
Li 2.364 1.365 0.964
Th 0.000 0.000 3.444
Th 0.000 0.000 10.333
Hg 0.000 0.000 6.888
Hg 0.000 0.000 0.000
Hg 2.364 1.365 8.684
Hg 0.000 2.729 1.795
Hg 2.364 1.365 11.981
Hg 0.000 2.729 5.093
```


Run x
This record from the Alexandria database describes a geometry-optimized Li2ThHg3 structure. The functional is GGA-PBE.

Values from the calculation:
Crystal system: tetragonal

Structure (extended XYZ):
```
6
Lattice="3.423 0.000 0.000 0.000 3.423 0.000 0.000 0.000 10.960" Properties=species:S:1:pos:R:3 pbc="T T T"
Li 1.712 1.712 9.346
Li 1.712 1.712 1.614
Th 1.712 1.712 5.480
Hg 0.000 0.000 0.000
Hg 0.000 0.000 7.787
Hg 0.000 0.000 3.173
```


Quick ranking, most stable first: run x, run w.